VASP calculation (PBE) on an optimized crystal structure of PrCuSn2Pd.

Cell and atoms, written as CIF:
```
data_PrCuSn2Pd
_cell_length_a 4.510
_cell_length_b 4.510
_cell_length_c 11.082
_cell_angle_alpha 90.00
_cell_angle_beta 90.00
_cell_angle_gamma 90.00
_symmetry_space_group_name_H-M 'I -4 m 2'
_symmetry_Int_Tables_number 119
_symmetry_space_group_name_Hall 'I -4 -2'
loop_
_atom_site_label
_atom_site_type_symbol
_atom_site_fract_x
_atom_site_fract_y
_atom_site_fract_z
_atom_site_occupancy
Pr1 Pr 0.000 0.000 0.000 1
Cu1 Cu 0.000 0.500 0.250 1
Sn1 Sn 0.000 0.000 0.373 1
Pd1 Pd 0.000 0.500 0.750 1
```

VASP calculation (PBE) on an optimized crystal structure of SrPrCuPd.

Cell and atoms, written as CIF:
```
data_SrPrCuPd
_cell_length_a 7.358
_cell_length_b 7.358
_cell_length_c 7.358
_cell_angle_alpha 90.00
_cell_angle_beta 90.00
_cell_angle_gamma 90.00
_symmetry_space_group_name_H-M 'F -4 3 m'
_symmetry_Int_Tables_number 216
_symmetry_space_group_name_Hall 'F -4 2 3'
loop_
_atom_site_label
_atom_site_type_symbol
_atom_site_fract_x
_atom_site_fract_y
_atom_site_fract_z
_atom_site_occupancy
Sr1 Sr 0.000 0.000 0.000 1
Pr1 Pr 0.000 0.000 0.500 1
Cu1 Cu 0.250 0.250 0.250 1
Pd1 Pd 0.250 0.250 0.750 1
```

VASP calculation (PBE) on an optimized crystal structure of Pr3ZnCu2Pd9.

Cell and atoms, written as CIF:
```
data_Pr3ZnCu2Pd9
_cell_length_a 7.5591
_cell_length_b 7.5591
_cell_length_c 6.2456
_cell_angle_alpha 90.00
_cell_angle_beta 90.00
_cell_angle_gamma 120.00
_symmetry_space_group_name_H-M 'P -3 m 1'
_symmetry_Int_Tables_number 164
_symmetry_space_group_name_Hall '-P 3 2"'
loop_
_atom_site_label
_atom_site_type_symbol
_atom_site_fract_x
_atom_site_fract_y
_atom_site_fract_z
_atom_site_occupancy
Pr1 Pr 0.0000 0.0000 0.0000 1
Pr2 Pr 0.3333 0.6667 0.6690 1
Zn1 Zn 0.0000 0.0000 0.5000 1
Cu1 Cu 0.3333 0.6667 0.1666 1
Pd1 Pd 0.0000 0.5000 0.0000 1
Pd2 Pd 0.1662 0.3323 0.3304 1
```

VASP calculation (PBE) on an optimized crystal structure of PrZnCuPd.

Cell and atoms, written as CIF:
```
data_PrZnCuPd
_cell_length_a 6.780
_cell_length_b 6.780
_cell_length_c 6.780
_cell_angle_alpha 90.00
_cell_angle_beta 90.00
_cell_angle_gamma 90.00
_symmetry_space_group_name_H-M 'F -4 3 m'
_symmetry_Int_Tables_number 216
_symmetry_space_group_name_Hall 'F -4 2 3'
loop_
_atom_site_label
_atom_site_type_symbol
_atom_site_fract_x
_atom_site_fract_y
_atom_site_fract_z
_atom_site_occupancy
Pr1 Pr 0.000 0.000 0.000 1
Zn1 Zn 0.000 0.000 0.500 1
Cu1 Cu 0.250 0.250 0.250 1
Pd1 Pd 0.250 0.250 0.750 1
```

VASP calculation (PBE) on an optimized crystal structure of Pr2Zn2CuPd5.

Cell and atoms, written as CIF:
```
data_Pr2Zn2CuPd5
_cell_length_a 9.794
_cell_length_b 9.794
_cell_length_c 3.813
_cell_angle_alpha 90.00
_cell_angle_beta 90.00
_cell_angle_gamma 90.00
_symmetry_space_group_name_H-M 'P 4/m b m'
_symmetry_Int_Tables_number 127
_symmetry_space_group_name_Hall '-P 4 2ab'
loop_
_atom_site_label
_atom_site_type_symbol
_atom_site_fract_x
_atom_site_fract_y
_atom_site_fract_z
_atom_site_occupancy
Pr1 Pr 0.180 0.320 0.000 1
Zn1 Zn 0.119 0.619 0.000 1
Cu1 Cu 0.000 0.000 0.000 1
Pd1 Pd 0.000 0.500 0.500 1
Pd2 Pd 0.062 0.799 0.500 1
```

VASP calculation (PBE) on an optimized crystal structure of Pr2ZnCuPd6.

Cell and atoms, written as CIF:
```
data_Pr2ZnCuPd6
_cell_length_a 9.405
_cell_length_b 9.405
_cell_length_c 9.405
_cell_angle_alpha 90.00
_cell_angle_beta 90.00
_cell_angle_gamma 90.00
_symmetry_space_group_name_H-M 'F m -3 m'
_symmetry_Int_Tables_number 225
_symmetry_space_group_name_Hall '-F 4 2 3'
loop_
_atom_site_label
_atom_site_type_symbol
_atom_site_fract_x
_atom_site_fract_y
_atom_site_fract_z
_atom_site_occupancy
Pr1 Pr 0.250 0.250 0.250 1
Zn1 Zn 0.000 0.000 0.000 1
Cu1 Cu 0.000 0.000 0.500 1
Pd1 Pd 0.000 0.000 0.250 1
```

VASP calculation (PBE) on an optimized crystal structure of Pr2Zn2Cu5Pd.

Cell and atoms, written as CIF:
```
data_Pr2Zn2Cu5Pd
_cell_length_a 9.970
_cell_length_b 9.970
_cell_length_c 3.526
_cell_angle_alpha 90.00
_cell_angle_beta 90.00
_cell_angle_gamma 90.00
_symmetry_space_group_name_H-M 'P 4/m b m'
_symmetry_Int_Tables_number 127
_symmetry_space_group_name_Hall '-P 4 2ab'
loop_
_atom_site_label
_atom_site_type_symbol
_atom_site_fract_x
_atom_site_fract_y
_atom_site_fract_z
_atom_site_occupancy
Pr1 Pr 0.180 0.320 0.000 1
Zn1 Zn 0.119 0.619 0.000 1
Cu1 Cu 0.000 0.500 0.500 1
Cu2 Cu 0.049 0.808 0.500 1
Pd1 Pd 0.000 0.000 0.000 1
```

VASP calculation (PBE) on an optimized crystal structure of PrZn5Cu2Pd.

Cell and atoms, written as CIF:
```
data_PrZn5Cu2Pd
_cell_length_a 4.700
_cell_length_b 4.700
_cell_length_c 7.092
_cell_angle_alpha 90.00
_cell_angle_beta 90.00
_cell_angle_gamma 90.00
_symmetry_space_group_name_H-M 'P 4/m m m'
_symmetry_Int_Tables_number 123
_symmetry_space_group_name_Hall '-P 4 2'
loop_
_atom_site_label
_atom_site_type_symbol
_atom_site_fract_x
_atom_site_fract_y
_atom_site_fract_z
_atom_site_occupancy
Pr1 Pr 0.000 0.000 0.000 1
Zn1 Zn 0.000 0.500 0.304 1
Zn2 Zn 0.500 0.500 0.000 1
Cu1 Cu 0.500 0.500 0.333 1
Pd1 Pd 0.000 0.000 0.500 1
```

Number 1: VASP energy -4.982 eV per atom, density 8.1 g/cm3, calculated formation energy -0.5675 eV/atom. Number 2: VASP energy -4.260 eV per atom, density 6.6 g/cm3, calculated formation energy -0.3229 eV/atom. Number 3: VASP energy -4.997 eV per atom, density 8.5 g/cm3, calculated formation energy -0.2947 eV/atom. Number 4: VASP energy -4.168 eV per atom, density 8.0 g/cm3, calculated formation energy -0.3326 eV/atom. Number 5: VASP energy -4.746 eV per atom, density 9.2 g/cm3, calculated formation energy -0.5289 eV/atom. Number 6: VASP energy -4.855 eV per atom, density 8.4 g/cm3, calculated formation energy -0.2460 eV/atom. Number 7: VASP energy -3.859 eV per atom, density 7.9 g/cm3, calculated formation energy -0.0813 eV/atom. Number 8: VASP energy -2.875 eV per atom, density 7.4 g/cm3, calculated formation energy -0.1489 eV/atom.